(1)
The following is a DFT calculation (PBE) of a geometry-optimized K2SeO structure.

Cell: 5.4519 5.4519 8.1541 Å, 90.00 90.00 90.00°
Closest atoms and distances in Å follow each position.
Space group I4mm (No. 107)
Symmetry-distinct sites (fractional):
1 K 0.0000 0.5000 0.0000 [4 per cell]  2 O 2.73
2 Se 0.0000 0.0000 0.2474 [2 per cell]  1 O 1.87
3 O 0.0000 0.0000 0.4762 [2 per cell]  1 Se 1.87

Output
uncorrected formation energy	-1.033	eV/atom
energy relative to the lowest polymorph listed for this composition	52.3	meV/atom
total moment	0.000	μB per atom

=====

(2)
The following is a DFT calculation (PBE) of a geometry-optimized K2SeO structure.

Cell: 6.5422 5.1292 7.3263 Å, 90.00 108.76 90.00°
Closest atoms and distances in Å follow each position.
Space group P2/m (No. 10)
Symmetry-distinct sites (fractional):
1 K 0.0000 0.0000 0.0000 [1 per cell]  4 O 2.67
2 K 0.2056 0.5000 0.3533 [2 per cell]  2 O 2.61-2.63
3 K 0.5000 0.5000 0.0000 [1 per cell]  2 O 2.54
4 Se 0.4329 0.0000 0.6382 [2 per cell]  1 Se 2.45
5 O 0.1043 0.5000 0.9763 [2 per cell]  1 O 1.51

Output
uncorrected formation energy	-0.980	eV/atom
energy relative to the lowest polymorph listed for this composition	104.9	meV/atom
total moment	0.009	μB per atom

=====

(3)
The following is a DFT calculation (PBE) of a geometry-optimized K9Se3O2 structure.

Cell: 13.0465 13.0465 16.6903 Å, 90.00 90.00 120.00°
Closest atoms and distances in Å follow each position.
Space group R-3c (No. 167, hexagonal axes)
Symmetry-distinct sites (fractional):
1 K 0.0000 0.1633 0.2500 [18 per cell]  2 O 2.67
2 K 0.0051 0.1841 0.9105 [36 per cell]  1 O 2.60
3 Se 0.0000 0.3422 0.7500 [18 per cell]  10 K 3.40-3.73
4 O 0.0000 0.0000 0.1541 [12 per cell]  6 K 2.60-2.67

Output
uncorrected formation energy	-1.032	eV/atom
total moment	0.083	μB per atom

=====

(4)
The following is a DFT calculation (PBE) of a geometry-optimized K2SeO structure.

Cell: 4.8195 6.1780 7.7217 Å, 77.14 74.38 72.68°
Closest atoms and distances in Å follow each position.
Space group P-1 (No. 2)
Symmetry-distinct sites (fractional):
1 K 0.0658 0.1866 0.1647 [2 per cell]  2 O 2.65-2.69
2 K 0.2882 0.2647 0.5678 [2 per cell]  3 O 2.57-2.79
3 Se 0.3940 0.6079 0.1308 [2 per cell]  1 Se 2.49
4 O 0.1478 0.9137 0.4811 [2 per cell]  1 O 1.50

Output
uncorrected formation energy	-1.006	eV/atom
energy relative to the lowest polymorph listed for this composition	78.8	meV/atom
total moment	0.008	μB per atom